1 | # GaFe2Os (PBE, relaxed)
# **SG**: P4/mmm
data_GaFe2Os
_space_group_name_H-M_alt 'P 1'
_space_group_IT_number 1
_space_group_name_Hall 'P 1'
_cell_length_a 2.697
_cell_length_b 2.697
_cell_length_c 6.721
_cell_angle_alpha 90.00
_cell_angle_beta 90.00
_cell_angle_gamma 90.00
loop_
_atom_site_label
_atom_site_fract_x
_atom_site_fract_y
_atom_site_fract_z
Ga1 0.000 0.000 0.000
Fe1 0.500 0.500 0.248
Fe2 0.500 0.500 0.752
Os1 0.000 0.000 0.500

=====

2 | # GaFe2Os (PBE, relaxed)
# **SG**: R-3m
data_GaFe2Os
_space_group_name_H-M_alt 'P 1'
_space_group_IT_number 1
_space_group_name_Hall 'P 1'
_cell_length_a 8.456
_cell_length_b 8.456
_cell_length_c 8.456
_cell_angle_alpha 18.27
_cell_angle_beta 18.27
_cell_angle_gamma 18.27
loop_
_atom_site_label
_atom_site_fract_x
_atom_site_fract_y
_atom_site_fract_z
Ga1 0.000 0.000 0.000
Fe1 0.250 0.250 0.250
Fe2 0.750 0.750 0.750
Os1 0.500 0.500 0.500

=====

Most stable to least stable, the ends of the list are 1 and 2.

=====

1 | # GaFe3P (PBE, relaxed)
# **SG**: Pm-3m
data_GaFe3P
_space_group_name_H-M_alt 'P 1'
_space_group_IT_number 1
_space_group_name_Hall 'P 1'
_cell_length_a 4.172
_cell_length_b 4.172
_cell_length_c 4.172
_cell_angle_alpha 90.00
_cell_angle_beta 90.00
_cell_angle_gamma 90.00
loop_
_atom_site_label
_atom_site_fract_x
_atom_site_fract_y
_atom_site_fract_z
Ga1 0.000 0.000 0.000
Fe1 0.000 0.500 0.500
Fe2 0.500 0.000 0.500
Fe3 0.500 0.500 0.000
P1 0.500 0.500 0.500

=====

2 | # GaFe3P (PBE, relaxed)
# **SG**: Pm-3m
data_GaFe3P
_space_group_name_H-M_alt 'P 1'
_space_group_IT_number 1
_space_group_name_Hall 'P 1'
_cell_length_a 4.378
_cell_length_b 4.378
_cell_length_c 4.378
_cell_angle_alpha 90.00
_cell_angle_beta 90.00
_cell_angle_gamma 90.00
loop_
_atom_site_label
_atom_site_fract_x
_atom_site_fract_y
_atom_site_fract_z
Ga1 0.000 0.000 0.000
Fe1 0.000 0.000 0.500
Fe2 0.000 0.500 0.000
Fe3 0.500 0.000 0.000
P1 0.500 0.500 0.500

=====

Most stable to least stable, the ends of the list are 1 and 2.